Entry from Alexandria: crystalline TbNiRhPb at its relaxed geometry (PBE).

## Properties
Formation enthalpy at 0 K ... -0.37 eV per atom
Space-group type ... No. 216

```
4
Lattice="-2.7939 -3.4846 -1.5816 1.4247 -2.7288 -3.6020 1.1824 -4.5220 0.7770" Properties=species:S:1:pos:R:3 pbc="T T T"
Ni -0.0467 -2.6838 -1.1016
Pb -0.0934 -5.3677 -2.2032
Rh -0.1401 -8.0515 -3.3049
Tb 0.0000 0.0000 0.0000
```